First-principles (PBE) data for a relaxed Ce6IrOs2I3 crystal, as listed in Alexandria.

Cell: 7.1696 12.4181 8.3063 Å, 90.00 106.72 90.00°
Last column: nearest neighbours and their distance in Å.
Space group C2/m (No. 12)
Symmetry-distinct sites (fractional):
Ce (0.2243, 0.0000, 0.1841)  2 Os 2.79, 1 Ir 2.83
Ce (0.2300, 0.3315, 0.1843)  2 Os 2.79, 1 Ir 2.83
Ir (0.0000, 0.5000, 0.0000)  6 Ce 2.83
Os (0.0000, 0.1667, 0.0000)  6 Ce 2.79
I (0.0000, 0.0000, 0.5000)  6 Ce 3.45-3.48
I (0.0000, 0.3334, 0.5000)  6 Ce 3.45-3.48

Calculated values
Its total energy is -6.68 eV/atom. The formation energy from raw total energies is -720 meV/atom. The total magnetization is 8.03 μB/cell.

---

First-principles (PBE) data for a relaxed CoC3 crystal, as listed in Alexandria.

Cell: 3.2315 3.2315 5.7433 Å, 90.00 90.00 90.00°
Last column: nearest neighbours and their distance in Å.
Space group I4/mmm (No. 139)
Symmetry-distinct sites (fractional):
Co (0.0000, 0.0000, 0.0000)  12 C 2.16-2.28
C (0.0000, 0.0000, 0.5000)  8 C 2.16, 4 Co 2.28
C (0.0000, 0.5000, 0.2500)  4 Co 2.16, 8 C 2.16-2.28

Calculated values
For the polymorph energy (0 for the lowest one), the calculation gives 2234 meV per atom. The calculation puts the formation enthalpy at 0 K at 2.852 eV/atom. Its total energy is -5.84 eV/atom. The total magnetization is 0.00 μB/cell.

---

First-principles (PBE) data for a relaxed SmEr2Ga2Pt7 crystal, as listed in Alexandria.

Cell: 5.7677 5.7026 14.1536 Å, 90.00 100.16 90.00°
Last column: nearest neighbours and their distance in Å.
Space group C2/m (No. 12)
Symmetry-distinct sites (fractional):
Sm (0.0000, 0.0000, 0.0000)  12 Pt 2.85-3.01
Er (0.1391, 0.0000, 0.3582)  5 Pt 2.93-3.19, 4 Ga 3.09-3.26
Ga (0.1138, 0.5000, 0.2633)  5 Pt 2.43-2.49
Pt (0.0000, 0.5000, 0.0000)  4 Sm 2.85-2.88, 8 Pt 3.01
Pt (0.1544, 0.5000, 0.4371)  1 Ga 2.43
Pt (0.1810, 0.2501, 0.8407)  2 Ga 2.49

Calculated values
The calculation puts the formation enthalpy at 0 K at -0.947 eV/atom. Its total energy is -6.13 eV/atom. The total magnetization is 0.00 μB/cell.

---

First-principles (PBE) data for a relaxed AcPaB crystal, as listed in Alexandria.

Cell: 9.2743 3.6508 9.6841 Å, 90.00 92.11 90.00°
Last column: nearest neighbours and their distance in Å.
Space group C2/m (No. 12)
Symmetry-distinct sites (fractional):
Ac (0.1380, 0.0000, 0.1707)  2 B 2.81
Pa (0.1266, 0.0000, 0.5766)  5 B 2.61-2.77, 1 Pa 2.73
B (0.0925, 0.5000, 0.3853)  5 Pa 2.61-2.77, 2 Ac 2.81, 1 B 2.86

Calculated values
The calculation puts the formation enthalpy at 0 K at 0.150 eV/atom. Its total energy is -6.61 eV/atom. The total magnetization is 0.00 μB/cell.

---

First-principles (PBE) data for a relaxed BiPOs2 crystal, as listed in Alexandria.

Cell: 6.4253 6.4253 6.4253 Å, 90.00 90.00 90.00°
Last column: nearest neighbours and their distance in Å.
Space group Fm-3m (No. 225)
Symmetry-distinct sites (fractional):
Bi (0.0000, 0.0000, 0.0000)  8 Os 2.78
P (0.0000, 0.0000, 0.5000)  8 Os 2.78
Os (0.2500, 0.2500, 0.2500)  4 Bi 2.78, 4 P 2.78

Calculated values
For the polymorph energy (0 for the lowest one), the calculation gives 253 meV per atom. The calculation puts the formation enthalpy at 0 K at 0.930 eV/atom. Its total energy is -7.01 eV/atom. The total magnetization is 0.00 μB/cell.

---

First-principles (PBE) data for a relaxed Ca2Ni2P3 crystal, as listed in Alexandria.

Cell: 9.9127 3.9805 6.3856 Å, 90.00 90.00 90.00°
Last column: nearest neighbours and their distance in Å.
Space group Pmma (No. 51)
Symmetry-distinct sites (fractional):
Ca (0.0000, 0.0000, 0.0000)  4 P 2.83
Ca (0.2500, 0.5000, 0.3212)  4 P 2.82-2.85, 1 Ni 3.00
Ni (0.0000, 0.0000, 0.5000)  4 P 2.35
Ni (0.2500, 0.5000, 0.7912)  4 P 2.21-2.24
P (0.0341, 0.5000, 0.6893)  3 Ni 2.24-2.35
P (0.2500, 0.0000, 0.6410)  2 Ni 2.21

Calculated values
The calculation puts the formation enthalpy at 0 K at -0.605 eV/atom. Its total energy is -5.15 eV/atom. The total magnetization is 0.00 μB/cell.

---

First-principles (PBE) data for a relaxed La4SbAs3 crystal, as listed in Alexandria.

Cell: 4.4304 6.2879 8.8968 Å, 90.00 90.00 90.00°
Last column: nearest neighbours and their distance in Å.
Space group Pmmm (No. 47)
Symmetry-distinct sites (fractional):
La (0.0000, 0.0000, 0.0000)  6 As 3.13-3.14
La (0.0000, 0.0000, 0.5000)  2 Sb 3.14, 4 As 3.15
La (0.5000, 0.5000, 0.2377)  4 As 3.06-3.15, 2 Sb 3.22
Sb (0.0000, 0.5000, 0.5000)  6 La 3.14-3.22
As (0.0000, 0.5000, 0.0000)  6 La 3.06-3.14
As (0.5000, 0.0000, 0.2479)  6 La 3.13-3.15

Calculated values
Its total energy is -6.20 eV/atom. The formation energy from raw total energies is -1479 meV/atom. The total magnetization is 0.00 μB/cell.

---

First-principles (PBE) data for a relaxed NaSr2Hg crystal, as listed in Alexandria.

Cell: 4.2555 4.2555 36.0498 Å, 90.00 90.00 120.00°
Last column: nearest neighbours and their distance in Å.
Space group R-3m (No. 166, hexagonal axes)
Symmetry-distinct sites (fractional):
Na (0.0000, 0.0000, 0.0000)  2 Sr 3.81, 6 Na 4.26
Sr (0.0000, 0.0000, 0.1058)  3 Hg 3.29
Hg (0.0000, 0.0000, 0.5000)  6 Sr 3.29

Calculated values
The calculation puts the formation enthalpy at 0 K at -0.110 eV/atom. Its total energy is -1.36 eV/atom. The total magnetization is 0.00 μB/cell.

---

First-principles (PBE) data for a relaxed LiAc2Pm crystal, as listed in Alexandria.

Cell: 3.8002 3.8002 38.8973 Å, 90.00 90.00 120.00°
Last column: nearest neighbours and their distance in Å.
Space group R-3m (No. 166, hexagonal axes)
Symmetry-distinct sites (fractional):
Li (0.0000, 0.0000, 0.0000)  2 Ac 3.45, 6 Li 3.80
Ac (0.0000, 0.0000, 0.0888)  1 Li 3.45, 3 Pm 3.74, 6 Ac 3.80
Pm (0.0000, 0.0000, 0.5000)  6 Ac 3.74, 6 Pm 3.80

Calculated values
For the polymorph energy (0 for the lowest one), the calculation gives 139 meV per atom. The calculation puts the formation enthalpy at 0 K at 0.198 eV/atom. Its total energy is -3.52 eV/atom. The total magnetization is 0.00 μB/cell.

---

First-principles (PBE) data for a relaxed Ca2TeF crystal, as listed in Alexandria.

Cell: 6.3345 6.3345 11.9059 Å, 90.00 90.00 90.00°
Last column: nearest neighbours and their distance in Å.
Space group I-42d (No. 122)
Symmetry-distinct sites (fractional):
Ca (0.1640, 0.2500, 0.1250)  2 F 2.41
Te (0.0000, 0.0000, 0.5000)  4 Ca 3.04
F (0.0000, 0.0000, 0.0000)  4 Ca 2.41

Calculated values
For the polymorph energy (0 for the lowest one), the calculation gives 0 meV per atom. Its total energy is -4.17 eV/atom. The formation energy from raw total energies is -1911 meV/atom. The total magnetization is 3.22 μB/cell.

---

First-principles (PBE) data for a relaxed LaTl3Te crystal, as listed in Alexandria.

Cell: 5.8448 5.8448 5.8448 Å, 90.00 90.00 90.00°
Last column: nearest neighbours and their distance in Å.
Space group Pm-3m (No. 221)
Symmetry-distinct sites (fractional):
La (0.0000, 0.0000, 0.0000)  12 Tl 4.13
Tl (0.0000, 0.5000, 0.5000)  2 Te 2.92
Te (0.5000, 0.5000, 0.5000)  6 Tl 2.92

Calculated values
For the polymorph energy (0 for the lowest one), the calculation gives 0 meV per atom. Its total energy is -2.66 eV/atom. The formation energy from raw total energies is 370 meV/atom. The total magnetization is 0.00 μB/cell.

---

First-principles (PBE) data for a relaxed Mg4Zn3Rh crystal, as listed in Alexandria.

Cell: 9.1191 6.4872 4.5602 Å, 90.00 90.00 90.00°
Last column: nearest neighbours and their distance in Å.
Space group Pmma (No. 51)
Symmetry-distinct sites (fractional):
Mg (0.0000, 0.2390, 0.0000)  6 Zn 2.76-2.84, 2 Rh 2.76
Mg (0.2500, 0.2390, 0.4987)  6 Zn 2.76-2.84, 2 Rh 2.76
Zn (0.0000, 0.5000, 0.5000)  8 Mg 2.84
Zn (0.2500, 0.0000, 0.9982)  8 Mg 2.76
Zn (0.2500, 0.5000, 0.9986)  8 Mg 2.84
Rh (0.0000, 0.0000, 0.5000)  8 Mg 2.76

Calculated values
The calculation puts the formation enthalpy at 0 K at -0.226 eV/atom. Its total energy is -2.42 eV/atom. The total magnetization is 0.00 μB/cell.